(1)
A relaxed SmTmZnSi crystal. Source: Alexandria via LeMat-Bulk, functional GGA-PBE.

Lattice parameters (Å, degrees): 4.996 4.996 4.996 60.00 60.00 60.00
Fractional coordinates of all 4 atoms:
Sm: 0.000 0.000 0.000
Tm: 0.500 0.500 0.500
Zn: 0.250 0.250 0.250
Si: 0.750 0.750 0.750

As for the density of states at the Fermi level: 0.420 states/eV/atom. As for the space group: F-43m (216). The value obtained for the total magnetic moment is 0.000 μB per cell. Its polymorph energy (0 for the lowest one) is 10.11 kJ/mol of atoms.

(2)
A relaxed PuHfFeCu crystal. Source: Alexandria via LeMat-Bulk, functional GGA-PBE.

Lattice parameters (Å, degrees): 4.648 4.648 4.648 60.00 60.00 60.00
Fractional coordinates of all 4 atoms:
Pu: 0.000 0.000 0.000
Hf: 0.500 0.500 0.500
Fe: 0.250 0.250 0.250
Cu: 0.750 0.750 0.750

As for the density of states at the Fermi level: 1.998 states/eV/atom. For the calculated formation energy, the calculation gives 0.060 eV per atom. As for the space group: F-43m (216). The value obtained for the total magnetic moment is 4.280 μB per cell.

(3)
A relaxed ReNiAu2 crystal. Source: Alexandria via LeMat-Bulk, functional GGA-PBE.

Lattice parameters (Å, degrees): 9.270 9.270 9.270 17.47 17.47 17.47
Fractional coordinates of all 4 atoms:
Re: 0.000 0.000 0.000
Ni: 0.263 0.263 0.263
Au: 0.516 0.516 0.516
Au: 0.755 0.755 0.755

As for the density of states at the Fermi level: 1.575 states/eV/atom. For the calculated formation energy, the calculation gives 0.249 eV per atom. As for the space group: R3m (160). The value obtained for the total magnetic moment is 0.425 μB per cell. Its polymorph energy (0 for the lowest one) is 7.60 kJ/mol of atoms.

(4)
A relaxed LaMoN3 crystal. Source: Alexandria via LeMat-Bulk, functional GGA-PBE.

Lattice parameters (Å, degrees): 5.931 5.931 3.810 96.90 96.90 87.91
Fractional coordinates of all 10 atoms:
La: 0.237 0.763 0.000
La: 0.763 0.237 0.000
Mo: 0.247 0.247 0.531
Mo: 0.711 0.711 0.629
N: 0.171 0.171 0.023
N: 0.463 0.967 0.571
N: 0.472 0.472 0.595
N: 0.804 0.804 0.149
N: 0.929 0.929 0.423
N: 0.967 0.463 0.571

As for the density of states at the Fermi level: 0.370 states/eV/atom. As for the electronic total energy: -8.8785 eV per atom. As for the space group: Cm (8). The value obtained for the total magnetic moment is 0.000 μB per cell.

(5)
A relaxed TlSb2Se crystal. Source: Alexandria via LeMat-Bulk, functional GGA-PBE.

Lattice parameters (Å, degrees): 4.479 5.587 4.781 90.00 92.67 90.00
Fractional coordinates of all 4 atoms:
Tl: 0.000 0.000 0.000
Sb: 0.268 0.500 0.698
Sb: 0.732 0.500 0.302
Se: 0.500 0.000 0.500

As for the density of states at the Fermi level: 0.347 states/eV/atom. As for the space group: P2/m (10). The value obtained for the total magnetic moment is 0.000 μB per cell. Its polymorph energy (0 for the lowest one) is 9.19 kJ/mol of atoms.

(6)
A relaxed Mg6TlCd crystal. Source: Alexandria via LeMat-Bulk, functional GGA-PBE.

Lattice parameters (Å, degrees): 4.481 4.481 9.009 90.00 90.00 90.00
Fractional coordinates of all 8 atoms:
Mg: 0.000 0.000 0.000
Mg: 0.000 0.000 0.500
Mg: 0.000 0.500 0.245
Mg: 0.000 0.500 0.755
Mg: 0.500 0.000 0.245
Mg: 0.500 0.000 0.755
Tl: 0.500 0.500 0.500
Cd: 0.500 0.500 0.000

As for the density of states at the Fermi level: 0.386 states/eV/atom. For the calculated formation energy, the calculation gives -0.055 eV per atom. As for the space group: P4/mmm (123). The value obtained for the total magnetic moment is 0.000 μB per cell. Its polymorph energy (0 for the lowest one) is 0.00 kJ/mol of atoms.

(7)
A relaxed MnOsPb2 crystal. Source: Alexandria via LeMat-Bulk, functional GGA-PBE.

Lattice parameters (Å, degrees): 5.469 5.469 5.469 135.20 135.20 65.23
Fractional coordinates of all 4 atoms:
Mn: 0.000 0.000 0.000
Os: 0.250 0.750 0.500
Pb: 0.500 0.500 0.000
Pb: 0.750 0.250 0.500

As for the density of states at the Fermi level: 0.950 states/eV/atom. For the calculated formation energy, the calculation gives 0.845 eV per atom. As for the space group: I-4m2 (119). The value obtained for the total magnetic moment is 3.669 μB per cell. Its polymorph energy (0 for the lowest one) is 45.15 kJ/mol of atoms.

(8)
A relaxed Ho2CdCu crystal. Source: Alexandria via LeMat-Bulk, functional GGA-PBE.

Lattice parameters (Å, degrees): 10.807 10.807 10.807 18.16 18.16 18.16
Fractional coordinates of all 4 atoms:
Ho: 0.102 0.102 0.102
Ho: 0.898 0.898 0.898
Cd: 0.000 0.000 0.000
Cu: 0.500 0.500 0.500

As for the density of states at the Fermi level: 1.025 states/eV/atom. For the calculated formation energy, the calculation gives 0.200 eV per atom. As for the space group: R-3m (166). The value obtained for the total magnetic moment is 0.000 μB per cell. Its polymorph energy (0 for the lowest one) is 46.53 kJ/mol of atoms.

(9)
A relaxed Ho3Pu5S8 crystal. Source: Alexandria via LeMat-Bulk, functional GGA-PBE.

Lattice parameters (Å, degrees): 7.860 7.860 7.860 59.90 59.90 59.90
Fractional coordinates of all 16 atoms:
Ho: 0.000 0.500 0.500
Ho: 0.500 0.000 0.500
Ho: 0.500 0.500 0.000
Pu: 0.000 0.000 0.000
Pu: 0.000 0.000 0.500
Pu: 0.000 0.500 0.000
Pu: 0.500 0.000 0.000
Pu: 0.500 0.500 0.500
S: 0.250 0.250 0.746
S: 0.250 0.746 0.250
S: 0.251 0.251 0.251
S: 0.254 0.750 0.750
S: 0.746 0.250 0.250
S: 0.749 0.749 0.749
S: 0.750 0.254 0.750
S: 0.750 0.750 0.254

As for the density of states at the Fermi level: 2.136 states/eV/atom. As for the electronic total energy: -9.2647 eV per atom. As for the space group: R-3m (166). The value obtained for the total magnetic moment is 6.021 μB per cell.

(10)
A relaxed Zn2FeNi5 crystal. Source: Alexandria via LeMat-Bulk, functional GGA-PBE.

Lattice parameters (Å, degrees): 7.363 7.363 7.363 151.14 151.14 41.27
Fractional coordinates of all 8 atoms:
Zn: 0.250 0.250 0.000
Zn: 0.750 0.750 0.000
Fe: 0.000 0.000 0.000
Ni: 0.121 0.621 0.500
Ni: 0.379 0.879 0.500
Ni: 0.500 0.500 0.000
Ni: 0.621 0.121 0.500
Ni: 0.879 0.379 0.500

As for the density of states at the Fermi level: 0.907 states/eV/atom. For the calculated formation energy, the calculation gives -0.136 eV per atom. As for the space group: I4/mmm (139). The value obtained for the total magnetic moment is 4.699 μB per cell.

(11)
A relaxed MnAlCrAu crystal. Source: Alexandria via LeMat-Bulk, functional GGA-PBE.

Lattice parameters (Å, degrees): 4.396 4.396 4.396 60.00 60.00 60.00
Fractional coordinates of all 4 atoms:
Mn: 0.000 0.000 0.000
Al: 0.500 0.500 0.500
Cr: 0.750 0.750 0.750
Au: 0.250 0.250 0.250

As for the density of states at the Fermi level: 0.568 states/eV/atom. For the calculated formation energy, the calculation gives -0.064 eV per atom. As for the space group: F-43m (216). The value obtained for the total magnetic moment is 0.723 μB per cell.

(12)
A relaxed Ac2ZnGePd crystal. Source: Alexandria via LeMat-Bulk, functional GGA-PBE.

Lattice parameters (Å, degrees): 4.488 4.488 14.471 90.00 90.00 90.00
Fractional coordinates of all 10 atoms:
Ac: 0.250 0.250 0.111
Ac: 0.250 0.250 0.672
Ac: 0.750 0.750 0.328
Ac: 0.750 0.750 0.889
Zn: 0.250 0.750 0.500
Zn: 0.750 0.250 0.500
Ge: 0.250 0.250 0.885
Ge: 0.750 0.750 0.115
Pd: 0.250 0.250 0.401
Pd: 0.750 0.750 0.599

As for the density of states at the Fermi level: 0.504 states/eV/atom. For the calculated formation energy, the calculation gives -0.597 eV per atom. As for the space group: P4/nmm (129). The value obtained for the total magnetic moment is 0.000 μB per cell.